(1)
HfMo5 | the Open Quantum Materials Database | PBE | optimized geometry; crystal system = hexagonal; formation energy = 1.59 eV per formula unit
1.0
2.6343 -4.5618 0.0000
2.6343 4.5618 0.0000
0.0000 0.0000 4.4998
Hf Mo
1 5
direct
0.0000 0.0000 0.0000
0.6667 0.3333 0.0000
0.3333 0.6667 0.0000
0.5000 0.0000 0.5000
0.0000 0.5000 0.5000
0.5000 0.5000 0.5000

***

(2)
NbHgAu | the Open Quantum Materials Database | PBE | optimized geometry; crystal system = cubic; formation energy = 1.51 eV per formula unit; distance to the lowest polymorph of the same formula = 0.1786 eV per atom
1.0
0.0000 3.2272 3.2272
3.2272 0.0000 3.2272
3.2272 3.2272 0.0000
Au Hg Nb
1 1 1
direct
0.2500 0.2500 0.2500
0.7500 0.7500 0.7500
0.0000 0.0000 0.0000